No. 1
DFT (GGA-PBE) results for In6HgPb after structural relaxation.

Cell lengths 5.6725, 6.6809, 6.6809 Å; angles 118.95, 90.00, 90.00 degrees
Fractional positions:
1 In 0.5000 0.4093 0.0883
2 In 0.5000 0.9117 0.5907
3 In 0.0000 0.0833 0.4063
4 Pb 0.5000 0.4113 0.5887
5 In 0.0000 0.5937 0.9167
6 In 0.5000 0.9102 0.0898
7 In 0.0000 0.5884 0.4116
8 Hg 0.0000 0.0919 0.9081

Calculated values
The energy above the most stable polymorph in this dataset comes out at 0.04 eV per formula unit. For the formation energy, the calculation gives 0.020 eV per atom. As for the raw total energy: -20.3 eV per formula unit.

***

No. 2
DFT (GGA-PBE) results for InHg2Pb after structural relaxation.

Cell lengths 3.6107, 5.5962, 5.7845 Å; angles 97.78, 108.19, 90.00 degrees
Fractional positions:
1 In 0.4996 0.4882 0.9992
2 Hg 0.9997 0.9994 0.9993
3 Pb 0.2489 0.7569 0.4979
4 Hg 0.7518 0.2555 0.5036

Calculated values
For the formation energy, the calculation gives 0.032 eV per atom. As for the raw total energy: -6.9 eV per formula unit.

***

No. 3
DFT (GGA-PBE) results for In4HgPb2 after structural relaxation.

Cell lengths 7.7814, 7.7814, 9.1774 Å; angles 90.00, 90.00, 129.98 degrees
Fractional positions:
1 In 0.5000 0.0000 0.7502
2 In 0.0000 0.5000 0.7498
3 Pb 0.8811 0.1161 0.0000
4 Hg 0.5000 0.5000 0.7500
5 Pb 0.1189 0.8839 0.0000
6 Hg 0.5000 0.5000 0.2500
7 In 0.3655 0.6314 0.0000
8 In 0.3686 0.6345 0.5000
9 Pb 0.1161 0.8811 0.5000
10 In 0.6345 0.3686 0.0000
11 Pb 0.8839 0.1189 0.5000
12 In 0.5000 0.0000 0.2498
13 In 0.0000 0.5000 0.2502
14 In 0.6314 0.3655 0.5000

Calculated values
The energy above the most stable polymorph in this dataset comes out at 0.27 eV per formula unit. For the formation energy, the calculation gives 0.080 eV per atom. As for the raw total energy: -18.1 eV per formula unit.

***

No. 4
DFT (GGA-PBE) results for In4Hg5Pb4 after structural relaxation.

Cell lengths 4.3086, 9.4220, 9.4220 Å; angles 87.00, 76.78, 76.78 degrees
Fractional positions:
1 In 0.1525 0.0625 0.6325
2 Hg 0.5320 0.7793 0.1566
3 Hg 0.6887 0.8434 0.7793
4 Pb 0.0809 0.5369 0.3012
5 Pb 0.3822 0.6988 0.5369
6 Pb 0.6178 0.3012 0.4631
7 Hg 0.4680 0.2207 0.8434
8 In 0.7850 0.3675 0.0625
9 In 0.8475 0.9375 0.3675
10 Hg 0.0000 0.0000 0.0000
11 Hg 0.3113 0.1566 0.2207
12 Pb 0.9191 0.4631 0.6988
13 In 0.2150 0.6325 0.9375

Calculated values
For the formation energy, the calculation gives 0.023 eV per atom. As for the raw total energy: -27.0 eV per formula unit.

***

No. 5
DFT (GGA-PBE) results for In2Hg3Pb3 after structural relaxation.

Cell lengths 5.3786, 5.4136, 18.4298 Å; angles 90.00, 90.00, 119.79 degrees
Fractional positions:
1 Hg 0.5836 0.1668 0.4249
2 Hg 0.7460 0.4921 0.7500
3 Hg 0.5836 0.1668 0.0751
4 Pb 0.0804 0.1609 0.8438
5 Hg 0.4164 0.8332 0.5751
6 Hg 0.2540 0.5079 0.2500
7 Pb 0.4133 0.8267 0.7500
8 In 0.2487 0.4972 0.4293
9 In 0.2487 0.4972 0.0707
10 Pb 0.0804 0.1609 0.6562
11 In 0.7513 0.5028 0.5707
12 Pb 0.5867 0.1733 0.2500
13 In 0.7513 0.5028 0.9293
14 Hg 0.4164 0.8332 0.9249
15 Pb 0.9196 0.8391 0.1562
16 Pb 0.9196 0.8391 0.3438

Calculated values
The energy above the most stable polymorph in this dataset comes out at 0.00 eV per formula unit. For the formation energy, the calculation gives 0.028 eV per atom. As for the raw total energy: -17.3 eV per formula unit.

***

No. 6
DFT (GGA-PBE) results for In2Hg3Pb4 after structural relaxation.

Cell lengths 3.5351, 3.5351, 24.0635 Å; angles 90.00, 90.00, 120.00 degrees
Fractional positions:
1 Hg 0.0000 0.0000 0.9814
2 Pb 0.6667 0.3333 0.2096
3 Pb 0.0000 0.0000 0.7682
4 Pb 0.6667 0.3333 0.4300
5 Pb 0.0000 0.0000 0.5488
6 In 0.6667 0.3333 0.0789
7 In 0.6667 0.3333 0.8822
8 Hg 0.0000 0.0000 0.3198
9 Hg 0.6667 0.3333 0.6582

Calculated values
The energy above the most stable polymorph in this dataset comes out at 0.00 eV per formula unit. For the formation energy, the calculation gives 0.026 eV per atom. As for the raw total energy: -21.0 eV per formula unit.

***

No. 7
DFT (GGA-PBE) results for InHgPb14 after structural relaxation.

Cell lengths 7.1023, 7.1023, 9.8076 Å; angles 90.00, 90.00, 89.98 degrees
Fractional positions:
1 Pb 0.1247 0.1247 0.2530
2 Pb 0.8750 0.3750 0.0000
3 Pb 0.8750 0.3750 0.5000
4 Pb 0.8750 0.8750 0.0000
5 Pb 0.6253 0.6253 0.2530
6 Pb 0.6252 0.1248 0.2530
7 Pb 0.6252 0.1248 0.7470
8 Pb 0.6253 0.6253 0.7470
9 Pb 0.1248 0.6252 0.7470
10 Pb 0.3750 0.8750 0.0000
11 Pb 0.1248 0.6252 0.2530
12 Pb 0.1247 0.1247 0.7470
13 In 0.8750 0.8750 0.5000
14 Pb 0.3750 0.8750 0.5000
15 Pb 0.3750 0.3750 0.0000
16 Hg 0.3750 0.3750 0.5000

Calculated values
For the formation energy, the calculation gives 0.009 eV per atom. As for the raw total energy: -54.8 eV per formula unit.

***

No. 8
DFT (GGA-PBE) results for In2Hg4Pb5 after structural relaxation.

Cell lengths 3.3606, 8.0625, 12.8266 Å; angles 83.51, 97.53, 90.00 degrees
Fractional positions:
1 In 0.7278 0.6677 0.4557
2 Hg 0.6057 0.7871 0.2113
3 Hg 0.9726 0.6744 0.9452
4 Pb 0.5000 0.0000 0.0000
5 Pb 0.1416 0.4312 0.2833
6 Pb 0.8090 0.9716 0.6180
7 In 0.2722 0.3323 0.5443
8 Hg 0.0274 0.3256 0.0548
9 Pb 0.1910 0.0284 0.3820
10 Pb 0.8584 0.5688 0.7167
11 Hg 0.3943 0.2129 0.7887

Calculated values
For the formation energy, the calculation gives 0.069 eV per atom. As for the raw total energy: -24.5 eV per formula unit.

***

raw total energy of number 1 (In6HgPb)?
-20.3 eV per formula unit

***

What is the formula in the seventh record?
InHgPb14

***

Which formula does entry 5 have?
In2Hg3Pb3